No. 1
This record from OQMD via LeMat-Bulk describes Dy3Mg3InAg2 after structural relaxation. The functional is PBE.

Cell lengths 7.4819, 7.4819, 4.5090 Å; angles 90.00, 90.00, 120.00 degrees
Atoms (fractional coordinates):
Dy  0.0000  0.5751  0.0000
Dy  0.4249  0.4249  0.0000
Dy  0.5751  0.0000  0.0000
Mg  0.0000  0.2487  0.5000
Mg  0.2487  0.0000  0.5000
Mg  0.7513  0.7513  0.5000
In  0.0000  0.0000  0.0000
Ag  0.3333  0.6667  0.5000
Ag  0.6667  0.3333  0.5000

Results
Total moment: 0.003 μB/atom



No. 2
This record from OQMD via LeMat-Bulk describes Er2TmCd3InGa2 after structural relaxation. The functional is PBE.

Cell lengths 4.4855, 7.2663, 7.2663 Å; angles 119.98, 90.00, 90.00 degrees
Atoms (fractional coordinates):
Er  0.0000  0.2188  0.7812
Er  0.0000  0.7812  0.2188
Tm  0.0000  0.3436  0.3436
Cd  0.5000  0.0368  0.0368
Cd  0.5000  0.5257  0.7812
Cd  0.5000  0.7812  0.5257
In  0.0000  0.7812  0.7812
Ga  0.5000  0.1146  0.4478
Ga  0.5000  0.4478  0.1146

Results
Total moment: 0.000 μB/atom



No. 3
This record from OQMD via LeMat-Bulk describes KRb4GaAu2 after structural relaxation. The functional is PBE.

Cell lengths 9.3810, 10.8700, 10.8700 Å; angles 25.73, 90.00, 90.00 degrees
Atoms (fractional coordinates):
K  0.0000  0.0000  0.0000
Rb  0.2529  0.2990  0.2990
Rb  0.2659  0.6158  0.6158
Rb  0.7341  0.6158  0.6158
Rb  0.7471  0.2990  0.2990
Ga  0.0000  0.8482  0.8482
Au  0.0000  0.1588  0.1588
Au  0.0000  0.7312  0.7312



No. 4
This record from OQMD via LeMat-Bulk describes SrPrZn4 after structural relaxation. The functional is PBE.

Cell lengths 5.8945, 5.8945, 5.8945 Å; angles 133.76, 100.08, 97.67 degrees
Atoms (fractional coordinates):
Sr  0.0000  0.0000  0.0000
Pr  0.5746  0.0746  0.5000
Zn  0.0009  0.7072  0.2937
Zn  0.1832  0.3746  0.8085
Zn  0.4136  0.7072  0.7063
Zn  0.5661  0.3746  0.1915

Results
Total moment: 0.002 μB/atom



No. 5
This record from OQMD via LeMat-Bulk describes CoNiSbIr after structural relaxation. The functional is PBE.

Cell lengths 4.3104, 4.3104, 4.3104 Å; angles 60.00, 60.00, 60.00 degrees
Atoms (fractional coordinates):
Co  0.0000  0.0000  0.0000
Ni  0.2500  0.2500  0.2500
Sb  0.7500  0.7500  0.7500
Ir  0.5000  0.5000  0.5000

Results
Excess energy over the best structure of this formula in the dataset: 0.0 meV/atom
Total moment: 0.264 μB/atom



No. 6
This record from OQMD via LeMat-Bulk describes Y3Sc3ReTe2 after structural relaxation. The functional is PBE.

Cell lengths 7.9162, 7.9162, 4.0892 Å; angles 90.00, 90.00, 120.00 degrees
Atoms (fractional coordinates):
Y  0.0000  0.3921  0.0000
Y  0.3921  0.0000  0.0000
Y  0.6079  0.6079  0.0000
Sc  0.0000  0.7714  0.5000
Sc  0.2286  0.2286  0.5000
Sc  0.7714  0.0000  0.5000
Re  0.0000  0.0000  0.0000
Te  0.3333  0.6667  0.5000
Te  0.6667  0.3333  0.5000

Results
Excess energy over the best structure of this formula in the dataset: 0.0 meV/atom
Total moment: 0.007 μB/atom



No. 7
This record from OQMD via LeMat-Bulk describes Fe2Bi8Te after structural relaxation. The functional is PBE.

Cell lengths 11.1475, 11.1475, 9.7984 Å; angles 90.00, 90.00, 90.00 degrees
Atoms (fractional coordinates):
Fe  0.2064  0.2064  0.2444
Fe  0.2064  0.2064  0.7556
Fe  0.2936  0.7064  0.2556
Fe  0.2936  0.7064  0.7444
Fe  0.7064  0.2936  0.2556
Fe  0.7064  0.2936  0.7444
Fe  0.7936  0.7936  0.2444
Fe  0.7936  0.7936  0.7556
Bi  0.0000  0.0000  0.3326
Bi  0.0000  0.0000  0.6674
Bi  0.0437  0.7159  0.2152
Bi  0.0437  0.7159  0.7848
Bi  0.1060  0.1060  0.0000
Bi  0.1934  0.1934  0.5000
Bi  0.1968  0.8032  0.5000
Bi  0.2159  0.4563  0.2848
Bi  0.2159  0.4563  0.7152
Bi  0.2841  0.9563  0.2152
Bi  0.2841  0.9563  0.7848
Bi  0.3032  0.3032  0.0000
Bi  0.3066  0.6934  0.0000
Bi  0.3940  0.6060  0.5000
Bi  0.4563  0.2159  0.2848
Bi  0.4563  0.2159  0.7152
Bi  0.5000  0.5000  0.1674
Bi  0.5000  0.5000  0.8326
Bi  0.5437  0.7841  0.2848
Bi  0.5437  0.7841  0.7152
Bi  0.6060  0.3940  0.5000
Bi  0.6934  0.3066  0.0000
Bi  0.6968  0.6968  0.0000
Bi  0.7159  0.0437  0.2152
Bi  0.7159  0.0437  0.7848
Bi  0.7841  0.5437  0.2848
Bi  0.7841  0.5437  0.7152
Bi  0.8032  0.1968  0.5000
Bi  0.8066  0.8066  0.5000
Bi  0.8940  0.8940  0.0000
Bi  0.9563  0.2841  0.2152
Bi  0.9563  0.2841  0.7848
Te  0.0000  0.5000  0.0000
Te  0.0000  0.5000  0.5000
Te  0.5000  0.0000  0.0000
Te  0.5000  0.0000  0.5000

Results
Total moment: 0.403 μB/atom



No. 8
This record from OQMD via LeMat-Bulk describes TlCu2SeS2 after structural relaxation. The functional is PBE.

Cell lengths 6.8651, 6.8651, 6.7867 Å; angles 99.47, 99.47, 119.81 degrees
Atoms (fractional coordinates):
Tl  0.0964  0.9036  0.5000
Tl  0.9036  0.0964  0.0000
Cu  0.2673  0.7412  0.0267
Cu  0.4559  0.6160  0.5264
Cu  0.6160  0.4559  0.0264
Cu  0.7412  0.2673  0.5267
Se  0.0614  0.2644  0.4216
Se  0.2644  0.0614  0.9216
S  0.4288  0.8845  0.3836
S  0.5209  0.6852  0.8804
S  0.6852  0.5209  0.3804
S  0.8845  0.4288  0.8836



No. 9
This record from OQMD via LeMat-Bulk describes PrTmGaNi2 after structural relaxation. The functional is PBE.

Cell lengths 5.4068, 5.4068, 5.4068 Å; angles 134.06, 120.14, 78.61 degrees
Atoms (fractional coordinates):
Pr  0.0000  0.0000  0.0000
Tm  0.4048  0.4048  0.0000
Ga  0.7025  0.2025  0.5000
Ni  0.4356  0.7033  0.7323
Ni  0.9710  0.7033  0.2677

Results
Total moment: 0.001 μB/atom



No. 10
This record from OQMD via LeMat-Bulk describes Ba2AlTcS6 after structural relaxation. The functional is PBE.

Cell lengths 6.7850, 6.7850, 6.7850 Å; angles 60.00, 60.00, 60.00 degrees
Atoms (fractional coordinates):
Ba  0.2500  0.2500  0.2500
Ba  0.7500  0.7500  0.7500
Al  0.0000  0.0000  0.0000
Tc  0.5000  0.5000  0.5000
S  0.2494  0.2494  0.7506
S  0.2494  0.7506  0.2494
S  0.2494  0.7506  0.7506
S  0.7506  0.2494  0.2494
S  0.7506  0.2494  0.7506
S  0.7506  0.7506  0.2494

Results
Total moment: 0.205 μB/atom



No. 11
This record from OQMD via LeMat-Bulk describes PrPIrO after structural relaxation. The functional is PBE.

Cell lengths 4.5782, 4.1406, 7.0654 Å; angles 90.00, 90.00, 90.00 degrees
Atoms (fractional coordinates):
Pr  0.0000  0.2443  0.0000
Pr  0.0000  0.7557  0.5000
P  0.5000  0.2434  0.6704
P  0.5000  0.7566  0.1704
Ir  0.5000  0.2582  0.3352
Ir  0.5000  0.7418  0.8352
O  0.0000  0.2568  0.3352
O  0.0000  0.7432  0.8352

Results
Excess energy over the best structure of this formula in the dataset: 502.8 meV/atom
Total moment: 0.000 μB/atom



No. 12
This record from OQMD via LeMat-Bulk describes PdPbO3 after structural relaxation. The functional is PBE.

Cell lengths 5.7374, 5.7374, 5.7374 Å; angles 61.62, 61.62, 61.62 degrees
Atoms (fractional coordinates):
Pd  0.2500  0.2500  0.2500
Pd  0.7500  0.7500  0.7500
Pb  0.0000  0.0000  0.0000
Pb  0.5000  0.5000  0.5000
O  0.0879  0.7500  0.4121
O  0.2500  0.5879  0.9121
O  0.4121  0.0879  0.7500
O  0.5879  0.9121  0.2500
O  0.7500  0.4121  0.0879
O  0.9121  0.2500  0.5879



No. 13
This record from OQMD via LeMat-Bulk describes TmHfTeC after structural relaxation. The functional is PBE.

Cell lengths 3.6085, 3.6085, 13.6048 Å; angles 90.00, 90.00, 120.00 degrees
Atoms (fractional coordinates):
Tm  0.3333  0.6667  0.0000
Tm  0.6667  0.3333  0.5000
Hf  0.3333  0.6667  0.6804
Hf  0.6667  0.3333  0.1804
Te  0.3333  0.6667  0.3332
Te  0.6667  0.3333  0.8332
C  0.0000  0.0000  0.1007
C  0.0000  0.0000  0.6007

Results
Excess energy over the best structure of this formula in the dataset: 0.0 meV/atom
Total moment: 0.000 μB/atom



No. 14
This record from OQMD via LeMat-Bulk describes ZrFeP after structural relaxation. The functional is PBE.

Cell lengths 6.3114, 3.7532, 7.0748 Å; angles 90.00, 90.00, 90.00 degrees
Atoms (fractional coordinates):
Zr  0.0142  0.2500  0.1852
Zr  0.4858  0.7500  0.6852
Zr  0.5142  0.2500  0.3148
Zr  0.9858  0.7500  0.8148
Fe  0.1466  0.2500  0.5627
Fe  0.3534  0.7500  0.0627
Fe  0.6466  0.2500  0.9373
Fe  0.8534  0.7500  0.4373
P  0.2161  0.7500  0.3889
P  0.2839  0.2500  0.8889
P  0.7161  0.7500  0.1111
P  0.7839  0.2500  0.6111

Results
Total moment: 0.014 μB/atom



No. 15
This record from OQMD via LeMat-Bulk describes HgB4O7 after structural relaxation. The functional is PBE.

Cell lengths 6.4890, 6.4890, 5.3319 Å; angles 90.00, 90.00, 63.56 degrees
Atoms (fractional coordinates):
Hg  0.2180  0.7820  0.7500
Hg  0.7820  0.2180  0.2500
B  0.0907  0.6651  0.2500
B  0.2871  0.2871  0.0000
B  0.2871  0.2871  0.5000
B  0.3349  0.9093  0.2500
B  0.6651  0.0907  0.7500
B  0.7129  0.7129  0.0000
B  0.7129  0.7129  0.5000
B  0.9093  0.3349  0.7500
O  0.1209  0.8791  0.2500
O  0.1802  0.2421  0.7500
O  0.1873  0.5311  0.0307
O  0.1873  0.5311  0.4693
O  0.2421  0.1802  0.2500
O  0.4689  0.8127  0.0307
O  0.4689  0.8127  0.4693
O  0.5311  0.1873  0.5307
O  0.5311  0.1873  0.9693
O  0.7579  0.8198  0.7500
O  0.8127  0.4689  0.5307
O  0.8127  0.4689  0.9693
O  0.8198  0.7579  0.2500
O  0.8791  0.1209  0.7500

Results
Excess energy over the best structure of this formula in the dataset: 89.0 meV/atom



No. 16
This record from OQMD via LeMat-Bulk describes SrPmO3 after structural relaxation. The functional is PBE.

Cell lengths 4.4396, 4.4396, 4.4396 Å; angles 90.00, 90.00, 90.00 degrees
Atoms (fractional coordinates):
Sr  0.0000  0.0000  0.0000
Pm  0.5000  0.5000  0.5000
O  0.0000  0.5000  0.5000
O  0.5000  0.0000  0.5000
O  0.5000  0.5000  0.0000

Results
Total moment: 0.200 μB/atom



No. 17
This record from OQMD via LeMat-Bulk describes K3Ta2Cu3Se8 after structural relaxation. The functional is PBE.

Cell lengths 12.6135, 12.6135, 14.9857 Å; angles 120.06, 120.06, 26.35 degrees
Atoms (fractional coordinates):
K  0.0000  0.0000  0.0000
K  0.0000  0.0000  0.5000
K  0.2685  0.3481  0.9053
K  0.3481  0.2685  0.4053
K  0.6519  0.7315  0.5947
K  0.7315  0.6519  0.0947
Ta  0.1566  0.5938  0.2212
Ta  0.4062  0.8434  0.2788
Ta  0.5938  0.1566  0.7212
Ta  0.8434  0.4062  0.7788
Cu  0.0964  0.6580  0.7204
Cu  0.2737  0.7263  0.2500
Cu  0.3420  0.9036  0.7796
Cu  0.6580  0.0964  0.2204
Cu  0.7263  0.2737  0.7500
Cu  0.9036  0.3420  0.2796
Se  0.0508  0.1332  0.8775
Se  0.1259  0.1883  0.6835
Se  0.1332  0.0508  0.3775
Se  0.1883  0.1259  0.1835
Se  0.2590  0.3158  0.6066
Se  0.3158  0.2590  0.1066
Se  0.4433  0.4856  0.8449
Se  0.4856  0.4433  0.3449
Se  0.5144  0.5567  0.6551
Se  0.5567  0.5144  0.1551
Se  0.6842  0.7410  0.8934
Se  0.7410  0.6842  0.3934
Se  0.8117  0.8741  0.8165
Se  0.8668  0.9492  0.6225
Se  0.8741  0.8117  0.3165
Se  0.9492  0.8668  0.1225

Results
Total moment: 0.000 μB/atom



No. 18
This record from OQMD via LeMat-Bulk describes Li8Tb4O11 after structural relaxation. The functional is PBE.

Cell lengths 5.2096, 5.5607, 9.6592 Å; angles 84.38, 79.79, 77.64 degrees
Atoms (fractional coordinates):
Li  0.0000  0.0000  0.0000
Li  0.0229  0.7879  0.5209
Li  0.1340  0.2470  0.3860
Li  0.2665  0.7355  0.2774
Li  0.4146  0.1860  0.0484
Li  0.4677  0.7261  0.9732
Li  0.6147  0.4556  0.4872
Li  0.6453  0.2261  0.8014
Tb  0.0780  0.4826  0.8183
Tb  0.4584  0.9054  0.6639
Tb  0.6786  0.9920  0.3183
Tb  0.8422  0.4849  0.1574
O  0.0659  0.1042  0.1979
O  0.1438  0.6268  0.0000
O  0.3127  0.0957  0.8633
O  0.3276  0.9075  0.4565
O  0.4784  0.3853  0.3058
O  0.4784  0.5148  0.6895
O  0.5799  0.8537  0.1280
O  0.7400  0.3501  0.9632
O  0.7657  0.1003  0.5231
O  0.8848  0.8537  0.7225
O  0.9246  0.6115  0.3711

Results
Excess energy over the best structure of this formula in the dataset: 42.0 meV/atom
Total moment: 0.009 μB/atom



No. 19
This record from OQMD via LeMat-Bulk describes SmTaN2O after structural relaxation. The functional is PBE.

Cell lengths 6.2793, 6.2793, 12.5163 Å; angles 90.00, 90.00, 120.00 degrees
Atoms (fractional coordinates):
Sm  0.0000  0.0000  0.0000
Sm  0.0000  0.0000  0.5000
Sm  0.3333  0.6667  0.4641
Sm  0.3333  0.6667  0.9641
Sm  0.6667  0.3333  0.4641
Sm  0.6667  0.3333  0.9641
Ta  0.0000  0.3341  0.2280
Ta  0.0000  0.6659  0.7280
Ta  0.3341  0.0000  0.2280
Ta  0.3341  0.3341  0.7280
Ta  0.6659  0.0000  0.7280
Ta  0.6659  0.6659  0.2280
N  0.0000  0.3089  0.3832
N  0.0000  0.3575  0.0736
N  0.0000  0.6425  0.5736
N  0.0000  0.6911  0.8832
N  0.3089  0.0000  0.3832
N  0.3089  0.3089  0.8832
N  0.3575  0.0000  0.0736
N  0.3575  0.3575  0.5736
N  0.6425  0.0000  0.5736
N  0.6425  0.6425  0.0736
N  0.6911  0.0000  0.8832
N  0.6911  0.6911  0.3832
O  0.0000  0.0000  0.2093
O  0.0000  0.0000  0.7093
O  0.3333  0.6667  0.2405
O  0.3333  0.6667  0.7405
O  0.6667  0.3333  0.2405
O  0.6667  0.3333  0.7405

Results
Total moment: 0.000 μB/atom



no.,mass density (kg/m3),VASP energy (eV per atom)
1,6768,-3.26
2,8863,-3.25
3,2915,-1.86
4,5985,-2.21
5,12656,-6.32
6,6308,-7.05
7,10425,-4.46
8,6012,-3.81
9,8662,-5.19
10,4451,-5.31
11,9425,-7.40
12,8678,-5.06
13,10543,-7.55
14,7057,-8.48
15,5879,-7.12
16,5325,-6.69
17,4763,-4.98
18,5364,-6.16
19,8749,-9.03